Entry 1:
DFT (PBEsol) results for crystalline MgPOs2 at its relaxed geometry.

Cell lengths 3.008, 4.178, 4.178 Å; angles 90.00, 90.00, 90.00 degrees
Atoms (fractional coordinates):
Mg  0.500  0.000  0.000
Os  0.000  0.000  0.500
Os  0.000  0.500  0.000
P  0.500  0.500  0.500

Output
space group: P4/mmm
ΔE_f: 15.56 kJ/mol of atoms
DOS at the Fermi energy: 2.5 states/eV/cell
relative energy among the computed polymorphs: 0.28 eV/f.u.

=====

Entry 2:
DFT (PBEsol) results for crystalline MgP2Os at its relaxed geometry.

Cell lengths 3.078, 4.284, 4.284 Å; angles 101.63, 90.00, 90.00 degrees
Atoms (fractional coordinates):
Mg  0.500  0.500  0.500
Os  0.500  0.000  0.000
P  0.000  0.000  0.500
P  0.000  0.500  0.000

Output
space group: Cmmm
ΔE_f: 9.82 kJ/mol of atoms
DOS at the Fermi energy: 2.3 states/eV/cell

=====

Entry 3:
DFT (PBEsol) results for crystalline MgPOs2 at its relaxed geometry.

Cell lengths 2.844, 2.844, 8.449 Å; angles 80.31, 80.31, 60.00 degrees
Atoms (fractional coordinates):
Mg  0.249  0.249  0.254
Os  0.003  0.003  0.991
Os  0.756  0.756  0.732
P  0.492  0.492  0.523

Output
space group: R3m
ΔE_f: 8.76 kJ/mol of atoms
DOS at the Fermi energy: 2.0 states/eV/cell
relative energy among the computed polymorphs: 0.00 eV/f.u.

=====

Entry 4:
DFT (PBEsol) results for crystalline RbMgP2Os at its relaxed geometry.

Cell lengths 4.645, 4.645, 5.028 Å; angles 90.00, 90.00, 90.00 degrees
Atoms (fractional coordinates):
P  0.000  0.500  0.000
P  0.500  0.000  0.000
Mg  0.000  0.000  0.500
Os  0.000  0.000  0.000
Rb  0.500  0.500  0.500

Output
space group: P4/mmm
ΔE_f: 9.67 kJ/mol of atoms
DOS at the Fermi energy: 2.8 states/eV/cell

=====

> Among the records above, which one has the lowest ΔE_f?

number 3

=====

> Look up the ΔE_f of the first one.

15.56 kJ/mol of atoms

=====

> Which of these has the highest ΔE_f?

number 1